Crystalline LaS2 at its relaxed geometry. Source: Alexandria via LeMat-Bulk, functional PBE.

- Total magnetic moment: 0.0 μB per formula unit
- Theoretical density: 4.8 g/cm3
- D(E_F): 0.00 states/eV/f.u.
- Crystal system: monoclinic
- Raw formation energy: -1.869 eV per atom

a b c (Å): 8.2162 4.1406 8.2095
angles (deg): 90.00 90.17 90.00
Closest atoms and distances in Å follow each position.
Space group P2_1/c (No. 14)
Symmetry-distinct sites (fractional):
La 0.2227 0.2101 0.3702 x4  8 S 2.89-3.19
S 0.1351 0.7360 0.1261 x4  5 La 2.89-3.19
S 0.4974 0.6513 0.3945 x4  1 S 2.14